Entry 1:
{"formula": "La5DySn3", "functional": "PBE", "state": "relaxed", "lattice": [[6.8732, 0.0000, 0.0000], [0.0000, 9.7734, 0.0000], [0.0000, -4.8867, 8.4652]], "species": ["La", "La", "La", "La", "La", "La", "La", "La", "La", "La", "Dy", "Dy", "Sn", "Sn", "Sn", "Sn", "Sn", "Sn"], "fractional_positions": [[0.0000, 0.6667, 0.3333], [0.5000, 0.3333, 0.6667], [0.0000, 0.3333, 0.6667], [0.5000, 0.6667, 0.3333], [0.7500, 0.6679, 0.6679], [0.7500, 0.9999, 0.3321], [0.7500, 0.3321, 0.0000], [0.2500, 0.3321, 0.3321], [0.2500, 0.0001, 0.6679], [0.2500, 0.6679, 0.0000], [0.0000, 0.0000, 0.0000], [0.5000, 0.0000, 0.0000], [0.7500, 0.3310, 0.3310], [0.7500, 0.0000, 0.6690], [0.7500, 0.6690, 0.0000], [0.2500, 0.6690, 0.6690], [0.2500, 0.0000, 0.3310], [0.2500, 0.3310, 0.0000]], "crystal_system": "hexagonal", "sg": "P6_3/mcm, No. 193", "e_tot_ev_per_atom": -5.16}


Entry 2:
{"formula": "Ac2Sm5", "functional": "PBE", "state": "relaxed", "lattice": [[-1.9944, 0.4144, -4.8495], [5.6355, -3.1289, 0.2675], [-4.9813, -6.6014, 1.4845]], "species": ["Ac", "Ac", "Sm", "Sm", "Sm", "Sm", "Sm"], "fractional_positions": [[0.0713, 0.1426, 0.2182], [0.9287, 0.8574, 0.7818], [0.3545, 0.7089, 0.0705], [0.6455, 0.2911, 0.9295], [0.2135, 0.4269, 0.6430], [0.5000, 0.0000, 0.5000], [0.7865, 0.5731, 0.3570]], "crystal_system": "monoclinic", "sg": "C2/m, No. 12", "e_tot_ev_per_atom": -4.50}


Asked for D(E_F) across the records above, the calculation gives 11.2 11.5 states/eV/f.u. in order.
Asked for ρ across the records above, the calculation gives 7.1 7.8 g cm⁻³ in order.